A plane-wave DFT calculation with GGA-PBE was carried out for crystalline WCCl3 at its relaxed geometry.

The final energy comes out at -3.69 eV/atom. The formation energy without anion corrections comes out at 1.8537 eV per atom. Its energy relative to the lowest polymorph listed for this composition is 2.80 eV/f.u. The calculation puts the density of states at the Fermi level at 4.4 states/eV/f.u.

Cell and atoms, written as POSCAR:
```
WCCl3
1.0
4.4814 0.0000 0.0000
0.0000 4.4814 0.0000
0.0000 0.0000 4.4814
W C Cl
1 1 3
Direct
0.0000 0.0000 0.0000 W
0.5000 0.5000 0.5000 C
0.0000 0.5000 0.5000 Cl
0.5000 0.0000 0.5000 Cl
0.5000 0.5000 0.0000 Cl
```